# 1
VASP calculation (PBE) on a relaxed structure of CeY2Sb.

```
4
Lattice="4.877 0.000 0.000 0.000 4.877 0.000 0.000 0.000 4.620" Properties=species:S:1:pos:R:3 pbc="T T T"
Ce 0.000 0.000 0.000
Y 0.000 2.438 2.310
Y 2.438 0.000 2.310
Sb 2.438 2.438 0.000
```

Summary:
For the energy above the most stable polymorph in this dataset, the calculation gives 0.00 kcal/mol of atoms. As for the formation energy (no corrections): -0.48 eV/atom. As for the density of states at the Fermi level: 6.84 states/eV/cell.

=====

# 2
VASP calculation (PBE) on a relaxed structure of CeY2Sb.

```
4
Lattice="2.001 1.155 9.669 -2.001 1.155 9.669 0.000 -2.310 9.669" Properties=species:S:1:pos:R:3 pbc="T T T"
Ce 0.000 0.000 0.000
Y 0.000 0.000 16.415
Y 0.000 0.000 22.225
Sb 0.000 0.000 4.808
```

Summary:
For the energy above the most stable polymorph in this dataset, the calculation gives 4.67 kcal/mol of atoms. As for the formation energy (no corrections): -0.27 eV/atom. As for the density of states at the Fermi level: 7.65 states/eV/cell.

=====

# 3
VASP calculation (PBE) on a relaxed structure of CeY2Sb.

```
4
Lattice="3.935 0.000 0.000 0.000 3.935 0.000 0.000 0.000 7.324" Properties=species:S:1:pos:R:3 pbc="T T T"
Ce 0.000 0.000 0.000
Y 1.968 1.968 2.026
Y 1.968 1.968 5.297
Sb 0.000 0.000 3.662
```

Summary:
For the energy above the most stable polymorph in this dataset, the calculation gives 0.57 kcal/mol of atoms. As for the formation energy (no corrections): -0.45 eV/atom. As for the density of states at the Fermi level: 6.52 states/eV/cell.

=====

# 4
VASP calculation (PBE) on a relaxed structure of CeY2Sb.

```
4
Lattice="1.982 1.144 9.779 -1.982 1.144 9.779 0.000 -2.288 9.779" Properties=species:S:1:pos:R:3 pbc="T T T"
Ce 0.000 0.000 0.000
Y 0.000 0.000 6.843
Y 0.000 0.000 22.495
Sb 0.000 0.000 14.669
```

Summary:
For the energy above the most stable polymorph in this dataset, the calculation gives 5.08 kcal/mol of atoms. As for the formation energy (no corrections): -0.26 eV/atom. As for the density of states at the Fermi level: 8.72 states/eV/cell.

=====

Copy entry 4 word for word.
VASP calculation (PBE) on a relaxed structure of CeY2Sb.

```
4
Lattice="1.982 1.144 9.779 -1.982 1.144 9.779 0.000 -2.288 9.779" Properties=species:S:1:pos:R:3 pbc="T T T"
Ce 0.000 0.000 0.000
Y 0.000 0.000 6.843
Y 0.000 0.000 22.495
Sb 0.000 0.000 14.669
```

Summary:
For the energy above the most stable polymorph in this dataset, the calculation gives 5.08 kcal/mol of atoms. As for the formation energy (no corrections): -0.26 eV/atom. As for the density of states at the Fermi level: 8.72 states/eV/cell.